[1]
DFT (PBE) results for crystalline ZnSiSbI2 at its relaxed geometry.

Cell and atoms, written as CIF:
```
data_ZnSiSbI2
_cell_length_a 5.425
_cell_length_b 5.425
_cell_length_c 5.390
_cell_angle_alpha 90.00
_cell_angle_beta 90.00
_cell_angle_gamma 90.00
_symmetry_space_group_name_H-M 'P 1'
_symmetry_Int_Tables_number 1
loop_
_symmetry_equiv_pos_as_xyz
'x,y,z'
loop_
_atom_site_label
_atom_site_type_symbol
_atom_site_fract_x
_atom_site_fract_y
_atom_site_fract_z
I1 I 0.000 0.500 0.000
I2 I 0.500 0.000 0.000
Sb1 Sb 0.000 0.000 0.500
Zn1 Zn 0.000 0.000 0.000
Si1 Si 0.500 0.500 0.500
```

Properties
The calculation puts the density at 4.91 g/cm3. The space-group type is P4/mmm, No. 123. The value obtained for the density of states at the Fermi level is 3.45 states/eV/cell. As for the crystal system: tetragonal. The value obtained for the offset from the most stable computed form is 223 meV per atom.



[2]
DFT (PBE) results for crystalline Na3NbO4 at its relaxed geometry.

Cell and atoms, written as CIF:
```
data_Na3NbO4
_cell_length_a 8.667
_cell_length_b 8.667
_cell_length_c 5.816
_cell_angle_alpha 77.55
_cell_angle_beta 77.55
_cell_angle_gamma 98.96
_symmetry_space_group_name_H-M 'P 1'
_symmetry_Int_Tables_number 1
loop_
_symmetry_equiv_pos_as_xyz
'x,y,z'
loop_
_atom_site_label
_atom_site_type_symbol
_atom_site_fract_x
_atom_site_fract_y
_atom_site_fract_z
Na1 Na 0.500 0.000 0.000
Na2 Na 0.259 0.741 0.500
Na3 Na 0.741 0.259 0.500
Na4 Na 0.000 0.000 0.500
Na5 Na 0.371 0.119 0.480
Na6 Na 0.881 0.629 0.520
Na7 Na 0.629 0.881 0.520
Na8 Na 0.119 0.371 0.480
Na9 Na 0.624 0.376 0.000
Na10 Na 0.000 0.500 0.000
Na11 Na 0.376 0.624 0.000
Na12 Na 0.500 0.500 0.500
Nb1 Nb 0.739 0.739 0.032
Nb2 Nb 0.261 0.261 0.968
Nb3 Nb 0.134 0.866 0.000
Nb4 Nb 0.866 0.134 0.000
O1 O 0.537 0.753 0.233
O2 O 0.247 0.463 0.767
O3 O 0.463 0.247 0.767
O4 O 0.753 0.537 0.233
O5 O 0.232 0.008 0.190
O6 O 0.992 0.768 0.810
O7 O 0.768 0.992 0.810
O8 O 0.008 0.232 0.190
O9 O 0.344 0.344 0.207
O10 O 0.656 0.656 0.793
O11 O 0.333 0.875 0.773
O12 O 0.125 0.667 0.227
O13 O 0.667 0.125 0.227
O14 O 0.113 0.113 0.802
O15 O 0.887 0.887 0.198
O16 O 0.875 0.333 0.773
```

Properties
For the total energy, the calculation gives -204.80 eV per cell. The calculation puts the density at 3.69 g/cm3. The space-group type is C2/m, No. 12. The value obtained for the density of states at the Fermi level is 0.00 states/eV/cell. As for the crystal system: monoclinic.



[3]
DFT (PBE) results for crystalline CrHgIr2 at its relaxed geometry.

Cell and atoms, written as CIF:
```
data_CrHgIr2
_cell_length_a 4.782
_cell_length_b 4.782
_cell_length_c 2.899
_cell_angle_alpha 90.00
_cell_angle_beta 90.00
_cell_angle_gamma 107.40
_symmetry_space_group_name_H-M 'P 1'
_symmetry_Int_Tables_number 1
loop_
_symmetry_equiv_pos_as_xyz
'x,y,z'
loop_
_atom_site_label
_atom_site_type_symbol
_atom_site_fract_x
_atom_site_fract_y
_atom_site_fract_z
Cr1 Cr 0.500 0.000 0.500
Hg1 Hg 0.000 0.500 0.500
Ir1 Ir 0.000 0.000 0.000
Ir2 Ir 0.500 0.500 0.000
```

Properties
The calculation puts the density at 16.73 g/cm3. The space-group type is Cmmm, No. 65. The value obtained for the density of states at the Fermi level is 5.64 states/eV/cell. As for the crystal system: orthorhombic. The energy of formation comes out at 163 kJ/mol of formula units.



[4]
DFT (PBE) results for crystalline SrNiGe2 at its relaxed geometry.

Cell and atoms, written as CIF:
```
data_SrNiGe2
_cell_length_a 5.980
_cell_length_b 5.823
_cell_length_c 6.134
_cell_angle_alpha 103.95
_cell_angle_beta 105.07
_cell_angle_gamma 118.64
_symmetry_space_group_name_H-M 'P 1'
_symmetry_Int_Tables_number 1
loop_
_symmetry_equiv_pos_as_xyz
'x,y,z'
loop_
_atom_site_label
_atom_site_type_symbol
_atom_site_fract_x
_atom_site_fract_y
_atom_site_fract_z
Sr1 Sr 0.118 0.368 0.235
Sr2 Sr 0.882 0.632 0.765
Ni1 Ni 0.778 0.028 0.557
Ni2 Ni 0.222 0.972 0.443
Ge1 Ge 0.513 0.091 0.231
Ge2 Ge 0.718 0.640 0.231
Ge3 Ge 0.487 0.909 0.769
Ge4 Ge 0.282 0.360 0.769
```

Properties
The calculation puts the density at 5.93 g/cm3. The space-group type is C2/c, No. 15. The value obtained for the density of states at the Fermi level is 4.16 states/eV/cell. As for the crystal system: monoclinic. The energy of formation comes out at -172 kJ/mol of formula units.



[5]
DFT (PBE) results for crystalline Cs3Ag2Cl6 at its relaxed geometry.

Cell and atoms, written as CIF:
```
data_Cs3Ag2Cl6
_cell_length_a 5.102
_cell_length_b 5.102
_cell_length_c 14.795
_cell_angle_alpha 99.93
_cell_angle_beta 99.93
_cell_angle_gamma 90.00
_symmetry_space_group_name_H-M 'P 1'
_symmetry_Int_Tables_number 1
loop_
_symmetry_equiv_pos_as_xyz
'x,y,z'
loop_
_atom_site_label
_atom_site_type_symbol
_atom_site_fract_x
_atom_site_fract_y
_atom_site_fract_z
Cs1 Cs 0.000 0.000 0.000
Cs2 Cs 0.817 0.817 0.633
Cs3 Cs 0.183 0.183 0.367
Ag1 Ag 0.399 0.399 0.799
Ag2 Ag 0.601 0.601 0.201
Cl1 Cl 0.085 0.585 0.171
Cl2 Cl 0.585 0.085 0.171
Cl3 Cl 0.915 0.415 0.829
Cl4 Cl 0.415 0.915 0.829
Cl5 Cl 0.694 0.694 0.389
Cl6 Cl 0.306 0.306 0.611
```

Properties
For the total energy, the calculation gives -33.74 eV per cell. The calculation puts the density at 3.68 g/cm3. The space-group type is I4/mmm, No. 139. The value obtained for the density of states at the Fermi level is 5.09 states/eV/cell. As for the crystal system: tetragonal.



[6]
DFT (PBE) results for crystalline Zn3AgAu2 at its relaxed geometry.

Cell and atoms, written as CIF:
```
data_Zn3AgAu2
_cell_length_a 5.217
_cell_length_b 5.217
_cell_length_c 8.467
_cell_angle_alpha 100.11
_cell_angle_beta 100.11
_cell_angle_gamma 115.48
_symmetry_space_group_name_H-M 'P 1'
_symmetry_Int_Tables_number 1
loop_
_symmetry_equiv_pos_as_xyz
'x,y,z'
loop_
_atom_site_label
_atom_site_type_symbol
_atom_site_fract_x
_atom_site_fract_y
_atom_site_fract_z
Zn1 Zn 0.323 0.841 0.164
Zn2 Zn 0.159 0.677 0.836
Zn3 Zn 0.677 0.159 0.836
Zn4 Zn 0.841 0.323 0.164
Zn5 Zn 0.174 0.174 0.348
Zn6 Zn 0.826 0.826 0.652
Ag1 Ag 0.662 0.662 0.323
Ag2 Ag 0.338 0.338 0.677
Au1 Au 0.250 0.750 0.500
Au2 Au 0.752 0.752 0.000
Au3 Au 0.750 0.250 0.500
Au4 Au 0.248 0.248 0.000
```

Properties
The calculation puts the density at 11.80 g/cm3. The space-group type is Fmmm, No. 69. The value obtained for the density of states at the Fermi level is 1.65 states/eV/cell. As for the crystal system: orthorhombic. The value obtained for the offset from the most stable computed form is 66 meV per atom. The energy of formation comes out at -53 kJ/mol of formula units.



[7]
DFT (PBE) results for crystalline Sm4BiSbTe2 at its relaxed geometry.

Cell and atoms, written as CIF:
```
data_Sm4BiSbTe2
_cell_length_a 4.489
_cell_length_b 7.751
_cell_length_c 7.784
_cell_angle_alpha 70.43
_cell_angle_beta 90.00
_cell_angle_gamma 90.00
_symmetry_space_group_name_H-M 'P 1'
_symmetry_Int_Tables_number 1
loop_
_symmetry_equiv_pos_as_xyz
'x,y,z'
loop_
_atom_site_label
_atom_site_type_symbol
_atom_site_fract_x
_atom_site_fract_y
_atom_site_fract_z
Sm1 Sm 0.000 0.746 0.747
Sm2 Sm 0.000 0.254 0.253
Sm3 Sm 0.500 0.742 0.257
Sm4 Sm 0.500 0.258 0.743
Bi1 Bi 0.500 0.500 0.000
Sb1 Sb 0.000 0.500 0.500
Te1 Te 0.000 0.000 0.000
Te2 Te 0.500 0.000 0.500
```

Properties
For the total energy, the calculation gives -43.14 eV per cell. The calculation puts the density at 7.73 g/cm3. The space-group type is P2/m, No. 10. The value obtained for the density of states at the Fermi level is 4.08 states/eV/cell. As for the crystal system: monoclinic.



[8]
DFT (PBE) results for crystalline BaFeP2 at its relaxed geometry.

Cell and atoms, written as CIF:
```
data_BaFeP2
_cell_length_a 5.724
_cell_length_b 5.724
_cell_length_c 5.724
_cell_angle_alpha 135.97
_cell_angle_beta 135.97
_cell_angle_gamma 64.02
_symmetry_space_group_name_H-M 'P 1'
_symmetry_Int_Tables_number 1
loop_
_symmetry_equiv_pos_as_xyz
'x,y,z'
loop_
_atom_site_label
_atom_site_type_symbol
_atom_site_fract_x
_atom_site_fract_y
_atom_site_fract_z
Ba1 Ba 0.500 0.500 0.000
Fe1 Fe 0.750 0.250 0.500
P1 P 0.000 0.000 0.000
P2 P 0.250 0.750 0.500
```

Properties
The calculation puts the density at 4.74 g/cm3. The space-group type is I-4m2, No. 119. The value obtained for the density of states at the Fermi level is 5.90 states/eV/cell. As for the crystal system: tetragonal. The value obtained for the offset from the most stable computed form is 1087 meV per atom. The energy of formation comes out at 201 kJ/mol of formula units.



[9]
DFT (PBE) results for crystalline TbCe3Pu2As6 at its relaxed geometry.

Cell and atoms, written as CIF:
```
data_TbCe3Pu2As6
_cell_length_a 7.249
_cell_length_b 7.249
_cell_length_c 7.220
_cell_angle_alpha 99.63
_cell_angle_beta 99.63
_cell_angle_gamma 120.00
_symmetry_space_group_name_H-M 'P 1'
_symmetry_Int_Tables_number 1
loop_
_symmetry_equiv_pos_as_xyz
'x,y,z'
loop_
_atom_site_label
_atom_site_type_symbol
_atom_site_fract_x
_atom_site_fract_y
_atom_site_fract_z
Tb1 Tb 0.000 0.000 0.000
Ce1 Ce 0.166 0.834 0.500
Ce2 Ce 0.834 0.166 0.500
Ce3 Ce 0.500 0.500 0.500
Pu1 Pu 0.333 0.667 0.000
Pu2 Pu 0.667 0.333 0.000
As1 As 0.918 0.584 0.754
As2 As 0.748 0.748 0.247
As3 As 0.082 0.416 0.246
As4 As 0.584 0.918 0.754
As5 As 0.252 0.252 0.753
As6 As 0.416 0.082 0.246
```

Properties
The calculation puts the density at 8.13 g/cm3. The space-group type is C2/m, No. 12. The value obtained for the density of states at the Fermi level is 31.20 states/eV/cell. As for the crystal system: monoclinic. The energy of formation comes out at -1523 kJ/mol of formula units.



[10]
DFT (PBE) results for crystalline SmEuMgAg at its relaxed geometry.

Cell and atoms, written as CIF:
```
data_SmEuMgAg
_cell_length_a 5.426
_cell_length_b 5.426
_cell_length_c 5.426
_cell_angle_alpha 60.00
_cell_angle_beta 60.00
_cell_angle_gamma 60.00
_symmetry_space_group_name_H-M 'P 1'
_symmetry_Int_Tables_number 1
loop_
_symmetry_equiv_pos_as_xyz
'x,y,z'
loop_
_atom_site_label
_atom_site_type_symbol
_atom_site_fract_x
_atom_site_fract_y
_atom_site_fract_z
Eu1 Eu 0.000 0.000 0.000
Mg1 Mg 0.750 0.750 0.750
Ag1 Ag 0.250 0.250 0.250
Sm1 Sm 0.500 0.500 0.500
```

Properties
The calculation puts the density at 6.39 g/cm3. The space-group type is F-43m, No. 216. The value obtained for the density of states at the Fermi level is 7.45 states/eV/cell. As for the crystal system: cubic. The energy of formation comes out at -49 kJ/mol of formula units.



[11]
DFT (PBE) results for crystalline CoB2Se at its relaxed geometry.

Cell and atoms, written as CIF:
```
data_CoB2Se
_cell_length_a 4.771
_cell_length_b 4.771
_cell_length_c 5.600
_cell_angle_alpha 64.79
_cell_angle_beta 64.79
_cell_angle_gamma 90.00
_symmetry_space_group_name_H-M 'P 1'
_symmetry_Int_Tables_number 1
loop_
_symmetry_equiv_pos_as_xyz
'x,y,z'
loop_
_atom_site_label
_atom_site_type_symbol
_atom_site_fract_x
_atom_site_fract_y
_atom_site_fract_z
B1 B 0.596 0.125 0.250
B2 B 0.154 0.625 0.250
B3 B 0.375 0.404 0.750
B4 B 0.875 0.846 0.750
Co1 Co 0.500 0.500 0.000
Co2 Co 0.250 0.750 0.500
Se1 Se 0.000 0.000 0.000
Se2 Se 0.750 0.250 0.500
```

Properties
For the total energy, the calculation gives -43.35 eV per cell. The calculation puts the density at 5.21 g/cm3. The space-group type is I-42d, No. 122. The value obtained for the density of states at the Fermi level is 4.70 states/eV/cell. As for the crystal system: tetragonal.



[12]
DFT (PBE) results for crystalline Ir2Pb2O7 at its relaxed geometry.

Cell and atoms, written as CIF:
```
data_Ir2Pb2O7
_cell_length_a 5.742
_cell_length_b 6.257
_cell_length_c 6.257
_cell_angle_alpha 115.39
_cell_angle_beta 95.08
_cell_angle_gamma 95.08
_symmetry_space_group_name_H-M 'P 1'
_symmetry_Int_Tables_number 1
loop_
_symmetry_equiv_pos_as_xyz
'x,y,z'
loop_
_atom_site_label
_atom_site_type_symbol
_atom_site_fract_x
_atom_site_fract_y
_atom_site_fract_z
Ir1 Ir 0.897 0.265 0.265
Ir2 Ir 0.103 0.735 0.735
Pb1 Pb 0.500 0.300 0.700
Pb2 Pb 0.500 0.700 0.300
O1 O 0.281 0.932 0.631
O2 O 0.719 0.369 0.068
O3 O 0.719 0.068 0.369
O4 O 0.281 0.631 0.932
O5 O 0.000 0.000 0.000
O6 O 0.807 0.552 0.552
O7 O 0.193 0.448 0.448
```

Properties
The calculation puts the density at 7.55 g/cm3. The space-group type is C2/m, No. 12. The value obtained for the density of states at the Fermi level is 4.03 states/eV/cell. As for the crystal system: monoclinic. The value obtained for the offset from the most stable computed form is 349 meV per atom.